Record 1
! PBE Pu2Al4PtAu3, relaxed; values from VASP
! crystal system = tetragonal
! space group = P-4m2
! electronic total energy = -6.540 eV/atom
! energy of formation from the pure elements = -0.59 eV/atom
! calculated density = 11.53 g/cm³
&SYSTEM
  ibrav = 0, nat = 10, ntyp = 4
/
ATOMIC_SPECIES
Pu 244.00 Pu.upf
Al 26.98 Al.upf
Pt 195.08 Pt.upf
Au 196.97 Au.upf
CELL_PARAMETERS angstrom
4.346 0.000 0.000
0.000 4.346 0.000
0.000 0.000 10.534
ATOMIC_POSITIONS crystal
Pu 0.000 0.500 0.246
Pu 0.500 0.000 0.754
Al 0.000 0.000 0.500
Al 0.000 0.500 0.873
Al 0.500 0.000 0.127
Al 0.500 0.500 0.500
Pt 0.500 0.500 0.000
Au 0.000 0.000 0.000
Au 0.000 0.500 0.635
Au 0.500 0.000 0.365


Record 2
! PBE Pu2Al4Pt3Au, relaxed; values from VASP
! crystal system = tetragonal
! space group = P-4m2
! electronic total energy = -7.313 eV/atom
! energy of formation from the pure elements = -0.81 eV/atom
! calculated density = 11.93 g/cm³
&SYSTEM
  ibrav = 0, nat = 10, ntyp = 4
/
ATOMIC_SPECIES
Pu 244.00 Pu.upf
Al 26.98 Al.upf
Pt 195.08 Pt.upf
Au 196.97 Au.upf
CELL_PARAMETERS angstrom
4.256 0.000 0.000
0.000 4.256 0.000
0.000 0.000 10.587
ATOMIC_POSITIONS crystal
Pu 0.000 0.500 0.246
Pu 0.500 0.000 0.754
Al 0.000 0.000 0.000
Al 0.000 0.500 0.633
Al 0.500 0.000 0.367
Al 0.500 0.500 0.000
Pt 0.000 0.500 0.867
Pt 0.500 0.000 0.133
Pt 0.500 0.500 0.500
Au 0.000 0.000 0.500


Record 3
! PBE PuAl4PtAu2, relaxed; values from VASP
! crystal system = trigonal
! space group = R-3m
! electronic total energy = -5.758 eV/atom
! energy of formation from the pure elements = -0.52 eV/atom
! calculated density = 10.46 g/cm³
&SYSTEM
  ibrav = 0, nat = 8, ntyp = 4
/
ATOMIC_SPECIES
Pu 244.00 Pu.upf
Al 26.98 Al.upf
Pt 195.08 Pt.upf
Au 196.97 Au.upf
CELL_PARAMETERS angstrom
2.179 1.258 9.083
-2.179 1.258 9.083
0.000 -2.516 9.083
ATOMIC_POSITIONS crystal
Pu 0.000 0.000 0.000
Al 0.133 0.133 0.133
Al 0.405 0.405 0.405
Al 0.595 0.595 0.595
Al 0.867 0.867 0.867
Pt 0.500 0.500 0.500
Au 0.255 0.255 0.255
Au 0.745 0.745 0.745


Record 4
! PBE RbAlPt2Au, relaxed; values from VASP
! crystal system = tetragonal
! space group = P4/mmm
! electronic total energy = -2.016 eV/atom
! energy of formation from the pure elements = 2.00 eV/atom
! calculated density = 7.80 g/cm³
&SYSTEM
  ibrav = 0, nat = 5, ntyp = 4
/
ATOMIC_SPECIES
Rb 85.47 Rb.upf
Al 26.98 Al.upf
Pt 195.08 Pt.upf
Au 196.97 Au.upf
CELL_PARAMETERS angstrom
5.121 0.000 0.000
0.000 5.121 0.000
0.000 0.000 5.680
ATOMIC_POSITIONS crystal
Rb 0.000 0.000 0.000
Al 0.000 0.000 0.500
Pt 0.000 0.500 0.000
Pt 0.500 0.000 0.000
Au 0.500 0.500 0.500


Record 5
! PBE AlSbPt2Au, relaxed; values from VASP
! crystal system = tetragonal
! space group = P4/mmm
! uncorrected formation energy = 0.646 eV/atom
! electronic total energy = -3.999 eV/atom
! calculated density = 10.41 g/cm³
&SYSTEM
  ibrav = 0, nat = 5, ntyp = 4
/
ATOMIC_SPECIES
Al 26.98 Al.upf
Sb 121.76 Sb.upf
Pt 195.08 Pt.upf
Au 196.97 Au.upf
CELL_PARAMETERS angstrom
5.088 0.000 0.000
0.000 5.088 0.000
0.000 0.000 4.534
ATOMIC_POSITIONS crystal
Al 0.000 0.000 0.000
Sb 0.500 0.500 0.000
Pt 0.000 0.500 0.500
Pt 0.500 0.000 0.500
Au 0.000 0.000 0.500


Record 6
! PBE SmAl2PtAu2, relaxed; values from VASP
! crystal system = tetragonal
! space group = P4/mmm
! electronic total energy = -4.708 eV/atom
! energy of formation from the pure elements = -0.57 eV/atom
! calculated density = 10.22 g/cm³
&SYSTEM
  ibrav = 0, nat = 6, ntyp = 4
/
ATOMIC_SPECIES
Sm 150.36 Sm.upf
Al 26.98 Al.upf
Pt 195.08 Pt.upf
Au 196.97 Au.upf
CELL_PARAMETERS angstrom
4.746 0.000 0.000
0.000 4.746 0.000
0.000 0.000 5.723
ATOMIC_POSITIONS crystal
Sm 0.000 0.000 0.000
Al 0.000 0.500 0.500
Al 0.500 0.000 0.500
Pt 0.000 0.000 0.500
Au 0.500 0.500 0.237
Au 0.500 0.500 0.763